(1)
Material: PmTlCdAu
Method: DFT, PBE
State: relaxed

Structure (POSCAR):
```
PmTlCdAu
1.0
5.147 0.000 0.000
2.574 4.458 0.000
2.574 1.486 4.203
Pm Au Tl Cd
1 1 1 1
Cartesian
2.574 1.486 1.051
5.147 2.972 2.101
0.000 0.000 0.000
7.721 4.458 3.152
```

Calculated values
Density of states at the Fermi level in states/eV/f.u.: 2.95
Formation energy from the elements in eV/atom: -0.424
Calculated total energy in eV for the cell shown: -13.0
SG: F-43m (216)

---

(2)
Material: PmTm2CdAu4
Method: DFT, PBE
State: relaxed

Structure (POSCAR):
```
PmTm2CdAu4
1.0
4.991 0.000 0.000
2.496 4.323 0.000
2.496 1.441 8.328
Au Pm Cd Tm
4 1 1 2
Cartesian
2.496 1.441 5.296
7.487 4.323 3.032
4.991 2.882 7.243
4.991 2.882 1.086
0.000 0.000 0.000
4.991 2.882 4.164
2.496 1.441 2.288
7.487 4.323 6.040
```

Calculated values
Density of states at the Fermi level in states/eV/f.u.: 4.35
Formation energy from the elements in eV/atom: -0.739
Calculated total energy in eV for the cell shown: -33.6
SG: R-3m (166)

---

(3)
Material: PmTmCd2Au4
Method: DFT, PBE
State: relaxed

Structure (POSCAR):
```
PmTmCd2Au4
1.0
4.963 0.000 0.000
2.482 4.298 0.000
2.482 1.433 8.073
Tm Au Cd Pm
1 4 2 1
Cartesian
4.963 2.865 4.036
7.445 4.298 3.132
4.963 2.865 1.099
2.482 1.433 4.941
4.963 2.865 6.974
2.482 1.433 2.002
7.445 4.298 6.071
0.000 0.000 0.000
```

Calculated values
Density of states at the Fermi level in states/eV/f.u.: 3.87
Formation energy from the elements in eV/atom: -0.661
Calculated total energy in eV for the cell shown: -29.5
SG: R-3m (166)

---

(4)
Material: PmYCdAu
Method: DFT, PBE
State: relaxed

Structure (POSCAR):
```
PmYCdAu
1.0
5.257 0.000 0.000
2.628 4.553 0.000
2.628 1.518 4.292
Au Y Cd Pm
1 1 1 1
Cartesian
2.628 1.518 1.073
5.257 3.035 2.146
7.885 4.553 3.219
0.000 0.000 0.000
```

Calculated values
Density of states at the Fermi level in states/eV/f.u.: 3.25
Formation energy from the elements in eV/atom: -0.545
Calculated total energy in eV for the cell shown: -17.6
SG: F-43m (216)